{
  "formula": "SrLaFeRuO6",
  "functional": "PBE with a Hubbard U",
  "state": "optimized geometry",
  "space_group": "No. 7",
  "final_energy_ry_per_atom": -0.535,
  "dos_at_fermi_per_ev_cell": 5.434,
  "lattice": [[-2.4813, -0.5073, 5.0402], [4.9098, -1.4942, 2.2667], [6.5068, 6.1221, 3.8195]],
  "species": ["La", "La", "Fe", "Fe", "O", "O", "O", "O", "O", "O", "O", "O", "O", "O", "O", "O", "Ru", "Ru", "Sr", "Sr"],
  "fractional_positions": [[0.7878, 0.2423, 0.2496], [0.2122, 0.2423, 0.7496], [0.2528, 0.4996, 0.0000], [0.7472, 0.4996, 0.5000], [0.7406, 0.6742, 0.2495], [0.5372, 0.8292, 0.4610], [0.9708, 0.7556, 0.9660], [0.0284, 0.1852, 0.0346], [0.4628, 0.8292, 0.9610], [0.5397, 0.2492, 0.0385], [0.0292, 0.7556, 0.4660], [0.2594, 0.6742, 0.7495], [0.7667, 0.3102, 0.7507], [0.4603, 0.2492, 0.5385], [0.2333, 0.3102, 0.2507], [0.9716, 0.1852, 0.5346], [0.2504, 0.9998, 0.5001], [0.7496, 0.9998, 0.0001], [0.7198, 0.7547, 0.7500], [0.2802, 0.7547, 0.2500]]
}